This record from Alexandria describes an optimized crystal structure of CsNbGaS2. The functional is PBE-GGA.

a b c (Å): 4.8615 5.4306 4.8615
angles (deg): 90.00 90.00 90.00
Closest atoms and distances in Å follow each position.
Fractional positions:
Cs (0.0000, 0.5000, 0.0000)  2 Ga 2.72
Nb (0.5000, 0.5000, 0.5000)  4 Cs 3.44, 8 S 3.64
S (0.0000, 0.0000, 0.5000)  2 Ga 2.43
S (0.5000, 0.0000, 0.0000)  2 Ga 2.43
Ga (0.0000, 0.0000, 0.0000)  4 S 2.43, 2 Cs 2.72

Summary:
Uncorrected formation energy in eV/atom: 0.9769


This record from Alexandria describes an optimized crystal structure of Cs2NbGaSe4. The functional is PBE-GGA.

a b c (Å): 7.2799 8.0116 13.1781
angles (deg): 82.79 73.97 62.98
Closest atoms and distances in Å follow each position.
Fractional positions:
Cs (0.1795, 0.0000, 0.6411)  6 Se 3.81-4.07
Cs (0.8205, 0.0000, 0.3589)  6 Se 3.81-4.07
Cs (0.5705, 0.5000, 0.8589)  6 Se 3.81-4.07
Cs (0.9295, 0.5000, 0.1411)  6 Se 3.81-4.07
Nb (0.7500, 0.5000, 0.5000)  4 Se 2.43
Nb (0.0000, 0.0000, 0.0000)  4 Se 2.43
Ga (0.2500, 0.5000, 0.5000)  4 Se 2.81
Ga (0.5000, 0.0000, 0.0000)  4 Se 2.81
Se (0.2525, 0.8151, 0.1047)  1 Nb 2.43
Se (0.1723, 0.1849, 0.8953)  1 Nb 2.43
Se (0.9324, 0.8151, 0.8953)  1 Nb 2.43
Se (0.6428, 0.1849, 0.1047)  1 Nb 2.43
Se (0.4975, 0.6849, 0.3953)  1 Nb 2.43
Se (0.5777, 0.3151, 0.6047)  1 Nb 2.43
Se (0.8176, 0.6849, 0.6047)  1 Nb 2.43
Se (0.1072, 0.3151, 0.3953)  1 Nb 2.43

Summary:
Uncorrected formation energy in eV/atom: -0.9536


This record from Alexandria describes an optimized crystal structure of Cs3NdGa2O6. The functional is PBE-GGA.

a b c (Å): 6.3697 6.3697 7.8664
angles (deg): 90.00 90.00 120.00
Closest atoms and distances in Å follow each position.
Fractional positions:
Cs (0.3333, 0.6667, 0.7552)  6 O 3.23, 1 Ga 3.48
Cs (0.6667, 0.3333, 0.2448)  6 O 3.23, 1 Ga 3.48
Cs (0.0000, 0.0000, 0.0000)  6 O 3.09
Nd (0.0000, 0.0000, 0.5000)  6 O 2.40
Ga (0.6667, 0.3333, 0.6873)  3 O 1.79
Ga (0.3333, 0.6667, 0.3127)  3 O 1.79
O (0.6586, 0.8293, 0.3108)  1 Ga 1.79
O (0.1707, 0.3414, 0.3108)  1 Ga 1.79
O (0.1707, 0.8293, 0.3108)  1 Ga 1.79
O (0.8293, 0.6586, 0.6892)  1 Ga 1.79
O (0.3414, 0.1707, 0.6892)  1 Ga 1.79
O (0.8293, 0.1707, 0.6892)  1 Ga 1.79

Summary:
Uncorrected formation energy in eV/atom: -1.9533


This record from Alexandria describes an optimized crystal structure of Cs4Nd3GaO8. The functional is PBE-GGA.

a b c (Å): 7.0970 8.0014 7.3576
angles (deg): 115.63 118.83 90.00
Closest atoms and distances in Å follow each position.
Fractional positions:
Cs (0.5000, 0.0000, 0.0000)  2 O 2.83
Cs (0.5000, 0.0000, 0.5000)  6 O 3.02-3.30
Cs (0.0000, 0.0000, 0.0000)  6 O 3.06-3.31
Cs (0.0000, 0.0000, 0.5000)  6 O 3.02-3.30
Nd (0.5000, 0.5000, 0.0000)  6 O 2.40-2.48
Nd (0.5000, 0.5000, 0.5000)  6 O 2.36-2.51
Nd (0.0000, 0.5000, 0.5000)  6 O 2.36-2.51
Ga (0.0000, 0.5000, 0.0000)  4 O 2.05
O (0.1829, 0.6471, 0.9436)  1 Ga 2.05
O (0.2594, 0.7023, 0.5188)  2 Nd 2.36
O (0.2860, 0.3310, 0.5720)  3 Nd 2.40-2.41
O (0.7607, 0.6471, 0.9436)  1 Ga 2.05
O (0.2393, 0.3529, 0.0564)  1 Ga 2.05
O (0.7140, 0.6690, 0.4280)  3 Nd 2.40-2.41
O (0.7406, 0.2977, 0.4812)  2 Nd 2.36
O (0.8171, 0.3529, 0.0564)  1 Ga 2.05

Summary:
Uncorrected formation energy in eV/atom: -2.1572


This record from Alexandria describes an optimized crystal structure of Cs3NdGa2S6. The functional is PBE-GGA.

a b c (Å): 7.5245 7.5245 9.3546
angles (deg): 90.00 90.00 120.00
Closest atoms and distances in Å follow each position.
Fractional positions:
Cs (0.3333, 0.6667, 0.7104)  1 Ga 3.75, 6 S 3.76
Cs (0.6667, 0.3333, 0.2896)  1 Ga 3.75, 6 S 3.76
Cs (0.0000, 0.0000, 0.0000)  6 S 3.54
Nd (0.0000, 0.0000, 0.5000)  6 S 2.85
Ga (0.6667, 0.3333, 0.6902)  3 S 2.19
Ga (0.3333, 0.6667, 0.3098)  3 S 2.19
S (0.6695, 0.8347, 0.3005)  1 Ga 2.19
S (0.1653, 0.3305, 0.3005)  1 Ga 2.19
S (0.1653, 0.8347, 0.3005)  1 Ga 2.19
S (0.8347, 0.6695, 0.6995)  1 Ga 2.19
S (0.3305, 0.1653, 0.6995)  1 Ga 2.19
S (0.8347, 0.1653, 0.6995)  1 Ga 2.19

Summary:
Uncorrected formation energy in eV/atom: -1.1723


This record from Alexandria describes an optimized crystal structure of Cs3Nd3GaSe8. The functional is PBE-GGA.

a b c (Å): 8.5316 8.5319 9.9140
angles (deg): 115.49 90.00 120.00
Closest atoms and distances in Å follow each position.
Fractional positions:
Cs (0.0000, 0.0000, 0.0000)  6 Se 3.62-3.65
Cs (0.0000, 0.5000, 0.0000)  6 Se 3.62-3.65
Cs (0.5000, 0.5000, 0.0000)  6 Se 3.62-3.65
Nd (0.5000, 0.0000, 0.5000)  6 Se 2.97-2.99
Nd (0.5000, 0.5000, 0.5000)  6 Se 2.96-2.99
Nd (0.0000, 0.5000, 0.5000)  6 Se 2.96-2.99
Ga (0.0000, 0.0000, 0.5000)  6 Se 2.71-2.73
Se (0.2693, 0.5386, 0.3081)  3 Nd 2.96-2.97
Se (0.7307, 0.4614, 0.6919)  3 Nd 2.96-2.97
Se (0.7889, 0.5778, 0.3236)  1 Ga 2.71, 2 Nd 2.99
Se (0.2111, 0.4222, 0.6764)  1 Ga 2.71, 2 Nd 2.99
Se (0.7874, 0.0351, 0.3226)  1 Ga 2.73, 2 Nd 2.99
Se (0.2126, 0.9649, 0.6774)  1 Ga 2.73, 2 Nd 2.99
Se (0.2476, 0.0351, 0.3226)  1 Ga 2.73, 2 Nd 2.99
Se (0.7524, 0.9649, 0.6774)  1 Ga 2.73, 2 Nd 2.99

Summary:
Uncorrected formation energy in eV/atom: -1.3504


- Look up the uncorrected formation energy of the third one.
  -1.9533 eV/atom